A relaxed LiCr4O12 crystal, computed with GGA+U.

Properties
Total moment, μB/cell: 4.0
Space-group type: I4_1/acd
Total energy, eV/atom: -6.54
Crystal system: tetragonal

CIF file:
```
data_LiCr4O12
_symmetry_space_group_name_H-M 'P 1'
_symmetry_Int_Tables_number 1
_symmetry_space_group_name_Hall 'P 1'
_cell_length_a 15.702
_cell_length_b 15.702
_cell_length_c 15.702
_cell_angle_alpha 148.47
_cell_angle_beta 148.47
_cell_angle_gamma 45.19
loop_
_atom_site_label
_atom_site_type_symbol
_atom_site_fract_x
_atom_site_fract_y
_atom_site_fract_z
Li1 Li 0.125 0.375 0.750
Li2 Li 0.375 0.125 0.250
Li3 Li 0.625 0.875 0.750
Li4 Li 0.875 0.625 0.250
Cr1 Cr 0.063 0.096 0.258
Cr2 Cr 0.096 0.338 0.033
Cr3 Cr 0.162 0.404 0.467
Cr4 Cr 0.195 0.937 0.533
Cr5 Cr 0.305 0.838 0.742
Cr6 Cr 0.338 0.805 0.242
Cr7 Cr 0.404 0.437 0.242
Cr8 Cr 0.437 0.695 0.033
Cr9 Cr 0.563 0.305 0.967
Cr10 Cr 0.596 0.563 0.758
Cr11 Cr 0.662 0.195 0.758
Cr12 Cr 0.695 0.162 0.258
Cr13 Cr 0.805 0.063 0.467
Cr14 Cr 0.838 0.596 0.533
Cr15 Cr 0.904 0.662 0.967
Cr16 Cr 0.937 0.904 0.742
O1 O 0.009 0.535 0.899
O2 O 0.033 0.783 0.250
O3 O 0.035 0.509 0.399
O4 O 0.049 0.250 0.299
O5 O 0.108 0.181 0.458
O6 O 0.110 0.009 0.974
O7 O 0.136 0.110 0.601
O8 O 0.149 0.722 0.542
O9 O 0.181 0.222 0.073
O10 O 0.217 0.967 0.250
O11 O 0.222 0.649 0.042
O12 O 0.250 0.451 0.201
O13 O 0.250 0.951 0.701
O14 O 0.278 0.319 0.427
O15 O 0.283 0.533 0.750
O16 O 0.319 0.392 0.042
O17 O 0.351 0.892 0.573
O18 O 0.364 0.965 0.974
O19 O 0.390 0.364 0.899
O20 O 0.392 0.851 0.073
O21 O 0.451 0.750 0.201
O22 O 0.465 0.864 0.474
O23 O 0.467 0.717 0.750
O24 O 0.491 0.390 0.526
O25 O 0.509 0.610 0.474
O26 O 0.533 0.283 0.250
O27 O 0.535 0.136 0.526
O28 O 0.549 0.250 0.799
O29 O 0.608 0.149 0.927
O30 O 0.610 0.636 0.101
O31 O 0.636 0.035 0.026
O32 O 0.649 0.108 0.427
O33 O 0.681 0.608 0.958
O34 O 0.717 0.467 0.250
O35 O 0.722 0.681 0.573
O36 O 0.750 0.049 0.299
O37 O 0.750 0.549 0.799
O38 O 0.778 0.351 0.958
O39 O 0.783 0.033 0.750
O40 O 0.819 0.778 0.927
O41 O 0.851 0.278 0.458
O42 O 0.864 0.890 0.399
O43 O 0.890 0.991 0.026
O44 O 0.892 0.819 0.542
O45 O 0.951 0.750 0.701
O46 O 0.965 0.491 0.601
O47 O 0.967 0.217 0.750
O48 O 0.991 0.465 0.101
```